No. 1
Ca2LaAu: single point on PBEsol structure, SCAN.

Volume: 419.7 Å³/cell
E: -33.3287 eV per atom
Formation enthalpy at 0 K: -0.431 eV/atom
ρ: 4.94 g/cm³

The structure in POSCAR format:
```
Ca2LaAu
1.0
3.9928 0.0000 0.0000
-1.9964 3.4578 0.0000
0.0000 0.0000 30.3959
Ca La Au
6 3 3
direct
0.0000 0.0000 0.0000
0.0000 0.0000 0.2262
0.3333 0.6667 0.6667
0.3333 0.6667 0.8928
0.6667 0.3333 0.3333
0.6667 0.3333 0.5595
0.0000 0.0000 0.7706
0.3333 0.6667 0.4373
0.6667 0.3333 0.1039
0.0000 0.0000 0.4994
0.3333 0.6667 0.1660
0.6667 0.3333 0.8327
```



No. 2
Ca2LaAu2: single point on PBEsol structure, SCAN.

Volume: 268.1 Å³/cell
E: -40.9802 eV per atom
Formation enthalpy at 0 K: -0.831 eV/atom
ρ: 7.59 g/cm³

The structure in POSCAR format:
```
Ca2LaAu2
1.0
7.8404 0.0000 0.0000
0.0000 7.8404 0.0000
0.0000 0.0000 4.3607
Ca La Au
4 2 4
direct
0.1614 0.3386 0.0000
0.3386 0.8386 0.0000
0.6614 0.1614 0.0000
0.8386 0.6614 0.0000
0.0000 0.0000 0.5000
0.5000 0.5000 0.5000
0.1313 0.6313 0.5000
0.3687 0.1313 0.5000
0.6313 0.8687 0.5000
0.8687 0.3687 0.5000
```



No. 3
Ca2LaAu: single point on PBEsol structure, SCAN.

Volume: 113.8 Å³/cell
E: -33.2273 eV per atom
Formation enthalpy at 0 K: -0.330 eV/atom
ρ: 6.07 g/cm³

The structure in POSCAR format:
```
Ca2LaAu
1.0
4.3959 0.0000 0.0000
0.0000 4.7898 0.0000
0.0000 0.0000 5.4066
Ca La Au
2 1 1
direct
0.0000 0.0000 0.0000
0.5000 0.5000 0.0000
0.0000 0.5000 0.5000
0.5000 0.0000 0.5000
```



No. 4
Ca2LaAu: single point on PBEsol structure, SCAN.

Volume: 127.0 Å³/cell
E: -33.3917 eV per atom
Formation enthalpy at 0 K: -0.494 eV/atom
ρ: 5.44 g/cm³

The structure in POSCAR format:
```
Ca2LaAu
1.0
3.6865 0.0000 0.0000
0.0000 3.6865 0.0000
0.0000 0.0000 9.3464
Ca La Au
2 1 1
direct
0.0000 0.0000 0.0000
0.5000 0.5000 0.3147
0.0000 0.0000 0.6295
0.5000 0.5000 0.8168
```



No. 5
Li3CaAu: single point on PBEsol structure, SCAN.

Volume: 116.7 Å³/cell
E: -17.4933 eV per atom
Formation enthalpy at 0 K: -0.295 eV/atom
ρ: 3.67 g/cm³

The structure in POSCAR format:
```
Li3CaAu
1.0
4.8864 0.0000 0.0000
0.0000 4.8864 0.0000
0.0000 0.0000 4.8864
Li Ca Au
3 1 1
direct
0.0000 0.0000 0.5000
0.0000 0.5000 0.0000
0.5000 0.0000 0.0000
0.5000 0.5000 0.5000
0.0000 0.0000 0.0000
```



No. 6
Li2CaAu: single point on PBEsol structure, SCAN.

Volume: 256.5 Å³/cell
E: -21.4272 eV per atom
Formation enthalpy at 0 K: -0.527 eV/atom
ρ: 4.87 g/cm³

The structure in POSCAR format:
```
Li2CaAu
1.0
4.4832 0.0000 0.0000
-2.2416 3.8826 0.0000
0.0000 0.0000 14.7366
Li Ca Au
6 3 3
direct
0.0000 0.0000 0.0000
0.0000 0.0000 0.2767
0.3333 0.6667 0.6667
0.3333 0.6667 0.9434
0.6667 0.3333 0.3333
0.6667 0.3333 0.6100
0.0000 0.0000 0.7964
0.3333 0.6667 0.4631
0.6667 0.3333 0.1297
0.0000 0.0000 0.5876
0.3333 0.6667 0.2543
0.6667 0.3333 0.9209
```



No. 7
Li2CaAu: single point on PBEsol structure, SCAN.

Volume: 241.6 Å³/cell
E: -21.3604 eV per atom
Formation enthalpy at 0 K: -0.460 eV/atom
ρ: 5.17 g/cm³

The structure in POSCAR format:
```
Li2CaAu
1.0
4.4376 0.0000 0.0000
-2.2188 3.8430 0.0000
0.0000 0.0000 14.1652
Li Ca Au
6 3 3
direct
0.0000 0.0000 0.2149
0.0000 0.0000 0.7851
0.3333 0.6667 0.4518
0.3333 0.6667 0.8816
0.6667 0.3333 0.1184
0.6667 0.3333 0.5482
0.0000 0.0000 0.0000
0.3333 0.6667 0.6667
0.6667 0.3333 0.3333
0.0000 0.0000 0.5000
0.3333 0.6667 0.1667
0.6667 0.3333 0.8333
```



No. 8
Li2CaAu: single point on PBEsol structure, SCAN.

Volume: 157.1 Å³/cell
E: -21.3677 eV per atom
Formation enthalpy at 0 K: -0.468 eV/atom
ρ: 5.30 g/cm³

The structure in POSCAR format:
```
Li2CaAu
1.0
4.1993 0.0000 0.0000
0.0000 4.1993 0.0000
0.0000 0.0000 8.9090
Li Ca Au
4 2 2
direct
0.0000 0.5000 0.2500
0.0000 0.5000 0.7500
0.5000 0.0000 0.2500
0.5000 0.0000 0.7500
0.0000 0.0000 0.0000
0.5000 0.5000 0.5000
0.0000 0.0000 0.5000
0.5000 0.5000 0.0000
```